LiCa2SnH: optimized geometry, PBE.

Output
V = 21.27 A^3/atom
DFT total energy = -16.0 eV per cell
Crystal system = tetragonal

a b c (Å): 4.9868 4.9868 4.2763
angles (deg): 90.00 90.00 90.00
Closest atoms and distances in Å follow each position.
Element x y z (fractional)
H  0.0000  0.0000  0.0000  2 Li 2.14
Ca  0.0000  0.5000  0.0000  2 H 2.49
Ca  0.5000  0.0000  0.0000  2 H 2.49
Sn  0.5000  0.5000  0.5000  8 Ca 3.28, 4 Li 3.53
Li  0.0000  0.0000  0.5000  2 H 2.14